# K2Mg3Tl12Sn | the Alexandria database | PBE-GGA | optimized geometry
data_K2Mg3Tl12Sn
_chemical_formula_sum 'K6 Mg9 Tl36 Sn3'
_cell_length_a 6.8825
_cell_length_b 6.8825
_cell_length_c 43.3814
_cell_angle_alpha 90.00
_cell_angle_beta 90.00
_cell_angle_gamma 120.00
_space_group_name_H-M_alt 'R -3 m'
_space_group_IT_number 166
_space_group_name_Hall '-R 3 2"'
loop_
_atom_site_label
_atom_site_type_symbol
_atom_site_fract_x
_atom_site_fract_y
_atom_site_fract_z
K1 K 0.0000 0.0000 0.1449
Mg1 Mg 0.0000 0.5000 0.0000
Tl1 Tl 0.0025 0.5012 0.8908
Tl2 Tl 0.0190 0.5095 0.6152
Sn1 Sn 0.0000 0.0000 0.5000
# **Energy of formation**: 0.79 eV/f.u.